DFT (PBE) results for crystalline InSb2Pb at its relaxed geometry.

Results
- energy above the most stable polymorph in this dataset (meV/atom) = 39
- uncorrected energy (eV per atom) = -3.58

The structure in CIF format:
```
data_InSb2Pb
_chemical_formula_sum 'In2 Sb4 Pb2'
_symmetry_space_group_name_H-M 'C m m m'
_symmetry_Int_Tables_number 65
_symmetry_space_group_name_Hall '-C 2 2'
_cell_length_a 4.107
_cell_length_b 5.223
_cell_length_c 10.705
_cell_angle_alpha 90.00
_cell_angle_beta 90.00
_cell_angle_gamma 90.00
loop_
_atom_site_label
_atom_site_fract_x
_atom_site_fract_y
_atom_site_fract_z
In1 0.000 0.000 0.000
Sb1 0.000 0.500 0.247
Pb1 0.000 0.000 0.500
```